Entry from Alexandria: a geometry-optimized PrIn5Cu structure (PBE-GGA).

a b c (Å): 4.7552 4.7552 7.6819
angles (deg): 90.00 90.00 90.00
Closest atoms and distances in Å follow each position.
Sites, in units of the cell vectors:
Pr  0.0000  0.0000  0.0000  12 In 3.33-3.36
In  0.0000  0.5000  0.3032  2 Cu 2.82, 1 In 3.02
In  0.0000  0.5000  0.6968  2 Cu 2.82, 1 In 3.02
In  0.5000  0.0000  0.3032  2 Cu 2.82, 1 In 3.02
In  0.5000  0.0000  0.6968  2 Cu 2.82, 1 In 3.02
In  0.5000  0.5000  0.0000  8 In 3.33, 4 Pr 3.36
Cu  0.0000  0.0000  0.5000  8 In 2.82

Fermi-level density of states ... 0.371 states/eV/atom
Electronic total energy ... -24.3 eV for the cell shown